# In12Ga3Sn5 (PBE, relaxed)
# DFT formation energy: 0.14 eV/atom
data_In12Ga3Sn5
_symmetry_space_group_name_H-M 'P 1'
_symmetry_Int_Tables_number 1
_symmetry_space_group_name_Hall 'P 1'
_cell_length_a 14.737
_cell_length_b 14.737
_cell_length_c 14.737
_cell_angle_alpha 109.47
_cell_angle_beta 109.47
_cell_angle_gamma 109.47
loop_
_atom_site_label
_atom_site_fract_x
_atom_site_fract_y
_atom_site_fract_z
_atom_site_occupancy
Ga1 0.625 0.375 0.750 1
Ga2 0.375 0.625 0.250 1
Ga3 0.750 0.875 0.625 1
Ga4 0.875 0.125 0.250 1
Ga5 0.250 0.125 0.375 1
Ga6 0.375 0.750 0.625 1
Ga7 0.875 0.750 0.125 1
Ga8 0.750 0.375 0.125 1
Ga9 0.125 0.250 0.875 1
Ga10 0.625 0.250 0.375 1
Ga11 0.250 0.625 0.875 1
Ga12 0.125 0.875 0.750 1
In1 0.631 0.563 0.892 1
In2 0.892 0.829 0.761 1
In3 0.671 0.432 0.563 1
In4 0.392 0.131 0.563 1
In5 0.171 0.063 0.932 1
In6 0.739 0.608 0.171 1
In7 0.131 0.392 0.063 1
In8 0.108 0.937 0.369 1
In9 0.432 0.761 0.869 1
In10 0.432 0.671 0.063 1
In11 0.329 0.761 0.392 1
In12 0.063 0.892 0.131 1
In13 0.937 0.108 0.869 1
In14 0.437 0.369 0.608 1
In15 0.761 0.432 0.369 1
In16 0.369 0.437 0.108 1
In17 0.392 0.261 0.329 1
In18 0.239 0.568 0.631 1
In19 0.568 0.329 0.937 1
In20 0.171 0.108 0.739 1
In21 0.068 0.631 0.739 1
In22 0.631 0.068 0.239 1
In23 0.869 0.261 0.432 1
In24 0.608 0.739 0.671 1
In25 0.369 0.932 0.761 1
In26 0.761 0.329 0.892 1
In27 0.739 0.131 0.068 1
In28 0.261 0.392 0.829 1
In29 0.932 0.563 0.171 1
In30 0.108 0.171 0.239 1
In31 0.892 0.063 0.631 1
In32 0.063 0.171 0.432 1
In33 0.829 0.892 0.261 1
In34 0.563 0.932 0.671 1
In35 0.937 0.829 0.568 1
In36 0.932 0.369 0.261 1
In37 0.563 0.631 0.392 1
In38 0.608 0.869 0.437 1
In39 0.239 0.671 0.108 1
In40 0.568 0.239 0.131 1
In41 0.869 0.608 0.937 1
In42 0.329 0.568 0.437 1
In43 0.829 0.937 0.068 1
In44 0.437 0.068 0.329 1
In45 0.068 0.437 0.829 1
In46 0.671 0.239 0.608 1
In47 0.131 0.739 0.568 1
In48 0.261 0.869 0.932 1
Sn1 0.500 0.000 0.500 1
Sn2 0.125 0.375 0.250 1
Sn3 0.500 0.500 0.000 1
Sn4 0.625 0.875 0.250 1
Sn5 0.250 0.875 0.125 1
Sn6 0.000 0.500 0.000 1
Sn7 0.000 0.000 0.000 1
Sn8 0.500 0.000 0.000 1
Sn9 0.625 0.750 0.875 1
Sn10 0.750 0.625 0.375 1
Sn11 0.875 0.625 0.750 1
Sn12 0.125 0.750 0.375 1
Sn13 0.750 0.125 0.875 1
Sn14 0.375 0.250 0.125 1
Sn15 0.375 0.125 0.750 1
Sn16 0.875 0.250 0.625 1
Sn17 0.500 0.500 0.500 1
Sn18 0.250 0.375 0.625 1
Sn19 0.000 0.500 0.500 1
Sn20 0.000 0.000 0.500 1

---

# In12GaSn6 (PBE, relaxed)
# DFT formation energy: 0.06 eV/atom
# distance to the lowest polymorph of the same formula: 0.0 kJ per mole of atoms
data_In12GaSn6
_symmetry_space_group_name_H-M 'P 1'
_symmetry_Int_Tables_number 1
_symmetry_space_group_name_Hall 'P 1'
_cell_length_a 8.087
_cell_length_b 8.087
_cell_length_c 8.087
_cell_angle_alpha 92.02
_cell_angle_beta 92.02
_cell_angle_gamma 92.02
loop_
_atom_site_label
_atom_site_fract_x
_atom_site_fract_y
_atom_site_fract_z
_atom_site_occupancy
Ga1 0.000 0.000 0.000 1
In1 0.467 0.205 0.543 1
In2 0.366 0.146 0.037 1
In3 0.543 0.467 0.205 1
In4 0.533 0.795 0.457 1
In5 0.205 0.543 0.467 1
In6 0.146 0.037 0.366 1
In7 0.963 0.634 0.854 1
In8 0.037 0.366 0.146 1
In9 0.634 0.854 0.963 1
In10 0.457 0.533 0.795 1
In11 0.795 0.457 0.533 1
In12 0.854 0.963 0.634 1
Sn1 0.722 0.254 0.885 1
Sn2 0.278 0.746 0.115 1
Sn3 0.746 0.115 0.278 1
Sn4 0.254 0.885 0.722 1
Sn5 0.115 0.278 0.746 1
Sn6 0.885 0.722 0.254 1

---

# InGa4Sn4 (PBE, relaxed)
# DFT formation energy: 0.11 eV/atom
data_InGa4Sn4
_symmetry_space_group_name_H-M 'P 1'
_symmetry_Int_Tables_number 1
_symmetry_space_group_name_Hall 'P 1'
_cell_length_a 7.329
_cell_length_b 7.329
_cell_length_c 8.968
_cell_angle_alpha 90.00
_cell_angle_beta 90.00
_cell_angle_gamma 90.00
loop_
_atom_site_label
_atom_site_fract_x
_atom_site_fract_y
_atom_site_fract_z
_atom_site_occupancy
Sn1 0.500 0.269 0.207 1
Sn2 0.269 0.500 0.793 1
Sn3 0.769 0.000 0.707 1
Sn4 0.000 0.769 0.293 1
Sn5 0.000 0.231 0.293 1
Sn6 0.231 0.000 0.707 1
Sn7 0.500 0.731 0.207 1
Sn8 0.731 0.500 0.793 1
Ga1 0.000 0.309 0.603 1
Ga2 0.500 0.809 0.897 1
Ga3 0.809 0.500 0.103 1
Ga4 0.000 0.691 0.603 1
Ga5 0.500 0.191 0.897 1
Ga6 0.191 0.500 0.103 1
Ga7 0.691 0.000 0.397 1
Ga8 0.309 0.000 0.397 1
In1 0.000 0.000 0.000 1
In2 0.500 0.500 0.500 1

---

# In2GaSn (PBE, relaxed)
# DFT formation energy: 0.05 eV/atom
# distance to the lowest polymorph of the same formula: 0.5 kJ per mole of atoms
data_In2GaSn
_symmetry_space_group_name_H-M 'P 1'
_symmetry_Int_Tables_number 1
_symmetry_space_group_name_Hall 'P 1'
_cell_length_a 5.247
_cell_length_b 5.247
_cell_length_c 5.247
_cell_angle_alpha 60.00
_cell_angle_beta 60.00
_cell_angle_gamma 60.00
loop_
_atom_site_label
_atom_site_fract_x
_atom_site_fract_y
_atom_site_fract_z
_atom_site_occupancy
In1 0.250 0.250 0.250 1
In2 0.750 0.750 0.750 1
Ga1 0.000 0.000 0.000 1
Sn1 0.500 0.500 0.500 1

---

# In2Ga4Sn3 (PBE, relaxed)
# DFT formation energy: 0.05 eV/atom
data_In2Ga4Sn3
_symmetry_space_group_name_H-M 'P 1'
_symmetry_Int_Tables_number 1
_symmetry_space_group_name_Hall 'P 1'
_cell_length_a 4.126
_cell_length_b 6.198
_cell_length_c 9.061
_cell_angle_alpha 90.24
_cell_angle_beta 90.00
_cell_angle_gamma 109.44
loop_
_atom_site_label
_atom_site_fract_x
_atom_site_fract_y
_atom_site_fract_z
_atom_site_occupancy
Sn1 0.648 0.297 0.491 1
Sn2 0.352 0.703 0.509 1
Sn3 0.000 0.000 0.000 1
Ga1 0.632 0.265 0.172 1
Ga2 0.012 0.024 0.667 1
Ga3 0.368 0.735 0.828 1
Ga4 0.988 0.976 0.333 1
In1 0.686 0.373 0.841 1
In2 0.314 0.627 0.159 1

---

# In2Ga9Sn (PBE, relaxed)
# DFT formation energy: 0.06 eV/atom
# distance to the lowest polymorph of the same formula: 0.5 kJ per mole of atoms
data_In2Ga9Sn
_symmetry_space_group_name_H-M 'P 1'
_symmetry_Int_Tables_number 1
_symmetry_space_group_name_Hall 'P 1'
_cell_length_a 5.635
_cell_length_b 5.635
_cell_length_c 9.984
_cell_angle_alpha 73.61
_cell_angle_beta 73.61
_cell_angle_gamma 60.00
loop_
_atom_site_label
_atom_site_fract_x
_atom_site_fract_y
_atom_site_fract_z
_atom_site_occupancy
Ga1 0.414 0.414 0.249 1
Ga2 0.077 0.586 0.751 1
Ga3 0.664 0.664 0.007 1
Ga4 0.923 0.414 0.249 1
Ga5 0.500 0.500 0.500 1
Ga6 0.586 0.586 0.751 1
Ga7 0.336 0.336 0.993 1
Ga8 0.414 0.923 0.249 1
Ga9 0.586 0.077 0.751 1
In1 0.860 0.860 0.421 1
In2 0.140 0.140 0.579 1
Sn1 0.000 0.000 0.000 1

---

Which total moment belongs to each record? In order, 0.000 0.000 0.000 0.000 0.000 0.000 Bohr magnetons per cell.